A | # Tb7NdSm4 | the Alexandria database | GGA-PBE | relaxed
data_Tb7NdSm4
_cell_length_a 6.879
_cell_length_b 6.569
_cell_length_c 11.846
_cell_angle_alpha 75.33
_cell_angle_beta 50.25
_cell_angle_gamma 82.13
_space_group_name_H-M_alt 'P 1'
_space_group_IT_number 1
loop_
_space_group_symop_operation_xyz
'x,y,z'
loop_
_atom_site_label
_atom_site_type_symbol
_atom_site_fract_x
_atom_site_fract_y
_atom_site_fract_z
_atom_site_occupancy
Tb1 Tb 0.942 0.683 0.359 1
Tb2 Tb 0.500 0.000 0.000 1
Tb3 Tb 0.801 0.514 0.949 1
Tb4 Tb 0.716 0.191 0.386 1
Tb5 Tb 0.284 0.809 0.614 1
Tb6 Tb 0.058 0.317 0.641 1
Tb7 Tb 0.199 0.486 0.051 1
Sm1 Sm 0.702 0.838 0.688 1
Sm2 Sm 0.521 0.640 0.285 1
Sm3 Sm 0.479 0.360 0.715 1
Sm4 Sm 0.298 0.162 0.312 1
Nd1 Nd 0.000 0.000 0.000 1
# M_tot = 0.00 μB per formula unit
# Density = 7.755 g cm⁻³

=====

B | # Tb7NdSm4 | the Alexandria database | GGA-PBE | relaxed
data_Tb7NdSm4
_cell_length_a 5.952
_cell_length_b 11.665
_cell_length_c 6.757
_cell_angle_alpha 83.29
_cell_angle_beta 63.87
_cell_angle_gamma 75.22
_space_group_name_H-M_alt 'P 1'
_space_group_IT_number 1
loop_
_space_group_symop_operation_xyz
'x,y,z'
loop_
_atom_site_label
_atom_site_type_symbol
_atom_site_fract_x
_atom_site_fract_y
_atom_site_fract_z
_atom_site_occupancy
Sm1 Sm 0.238 0.324 0.200 1
Sm2 Sm 0.364 0.776 0.495 1
Sm3 Sm 0.762 0.676 0.800 1
Sm4 Sm 0.636 0.224 0.505 1
Tb1 Tb 0.936 0.323 0.804 1
Tb2 Tb 0.368 0.499 0.764 1
Tb3 Tb 0.632 0.501 0.236 1
Tb4 Tb 0.211 0.078 0.501 1
Tb5 Tb 0.500 0.000 0.000 1
Tb6 Tb 0.789 0.922 0.499 1
Tb7 Tb 0.064 0.677 0.196 1
Nd1 Nd 0.000 0.000 0.000 1
# M_tot = 0.00 μB per formula unit
# Density = 7.577 g cm⁻³

=====

What should be chosen as the least stable of them? Choose B.

=====

A | # Tb3Nd2Sm6 | the Alexandria database | GGA-PBE | relaxed
data_Tb3Nd2Sm6
_cell_length_a 6.273
_cell_length_b 8.099
_cell_length_c 14.911
_cell_angle_alpha 49.30
_cell_angle_beta 60.69
_cell_angle_gamma 97.36
_space_group_name_H-M_alt 'P 1'
_space_group_IT_number 1
loop_
_space_group_symop_operation_xyz
'x,y,z'
loop_
_atom_site_label
_atom_site_type_symbol
_atom_site_fract_x
_atom_site_fract_y
_atom_site_fract_z
_atom_site_occupancy
Tb1 Tb 0.454 0.184 0.636 1
Tb2 Tb 0.000 0.000 0.000 1
Tb3 Tb 0.546 0.816 0.364 1
Sm1 Sm 0.818 0.725 0.546 1
Sm2 Sm 0.728 0.093 0.817 1
Sm3 Sm 0.182 0.275 0.454 1
Sm4 Sm 0.908 0.363 0.274 1
Sm5 Sm 0.092 0.637 0.726 1
Sm6 Sm 0.272 0.907 0.183 1
Nd1 Nd 0.363 0.544 0.909 1
Nd2 Nd 0.637 0.456 0.091 1
# M_tot = 0.00 μB per formula unit
# Density = 7.509 g cm⁻³

=====

B | # Tb3Nd2Sm6 | the Alexandria database | GGA-PBE | relaxed
data_Tb3Nd2Sm6
_cell_length_a 4.796
_cell_length_b 4.796
_cell_length_c 17.256
_cell_angle_alpha 97.99
_cell_angle_beta 97.99
_cell_angle_gamma 90.00
_space_group_name_H-M_alt 'P 1'
_space_group_IT_number 1
loop_
_space_group_symop_operation_xyz
'x,y,z'
loop_
_atom_site_label
_atom_site_type_symbol
_atom_site_fract_x
_atom_site_fract_y
_atom_site_fract_z
_atom_site_occupancy
Nd1 Nd 0.454 0.454 0.909 1
Nd2 Nd 0.546 0.546 0.091 1
Sm1 Sm 0.378 0.878 0.756 1
Sm2 Sm 0.302 0.302 0.603 1
Sm3 Sm 0.878 0.378 0.756 1
Sm4 Sm 0.698 0.698 0.397 1
Sm5 Sm 0.622 0.122 0.244 1
Sm6 Sm 0.122 0.622 0.244 1
Tb1 Tb 0.000 0.000 0.000 1
Tb2 Tb 0.200 0.200 0.400 1
Tb3 Tb 0.800 0.800 0.600 1
# M_tot = 0.00 μB per formula unit
# Density = 7.115 g cm⁻³

=====

What should be chosen as the least stable of them? Choose B.

=====

A | # TbNdSm5 | the Alexandria database | GGA-PBE | relaxed
data_TbNdSm5
_cell_length_a 6.901
_cell_length_b 6.901
_cell_length_c 13.753
_cell_angle_alpha 61.99
_cell_angle_beta 61.99
_cell_angle_gamma 59.87
_space_group_name_H-M_alt 'P 1'
_space_group_IT_number 1
loop_
_space_group_symop_operation_xyz
'x,y,z'
loop_
_atom_site_label
_atom_site_type_symbol
_atom_site_fract_x
_atom_site_fract_y
_atom_site_fract_z
_atom_site_occupancy
Sm1 Sm 0.312 0.344 0.000 1
Sm2 Sm 0.688 0.656 0.000 1
Sm3 Sm 0.344 0.312 0.500 1
Sm4 Sm 0.599 0.844 0.747 1
Sm5 Sm 0.401 0.156 0.253 1
Sm6 Sm 0.840 0.160 0.250 1
Sm7 Sm 0.156 0.401 0.753 1
Sm8 Sm 0.656 0.688 0.500 1
Sm9 Sm 0.844 0.599 0.247 1
Sm10 Sm 0.160 0.840 0.750 1
Nd1 Nd 0.721 0.279 0.750 1
Nd2 Nd 0.279 0.721 0.250 1
Tb1 Tb 0.000 0.000 0.500 1
Tb2 Tb 0.000 0.000 0.000 1
# M_tot = 0.00 μB per formula unit
# Density = 7.360 g cm⁻³

=====

B | # TbNdSm5 | the Alexandria database | GGA-PBE | relaxed
data_TbNdSm5
_cell_length_a 6.258
_cell_length_b 8.014
_cell_length_c 7.777
_cell_angle_alpha 121.01
_cell_angle_beta 113.72
_cell_angle_gamma 90.00
_space_group_name_H-M_alt 'P 1'
_space_group_IT_number 1
loop_
_space_group_symop_operation_xyz
'x,y,z'
loop_
_atom_site_label
_atom_site_type_symbol
_atom_site_fract_x
_atom_site_fract_y
_atom_site_fract_z
_atom_site_occupancy
Sm1 Sm 0.167 0.500 0.000 1
Sm2 Sm 0.683 0.748 0.496 1
Sm3 Sm 0.432 0.180 0.000 1
Sm4 Sm 0.432 0.820 0.000 1
Sm5 Sm 0.187 0.252 0.504 1
Nd1 Nd 0.931 0.000 0.000 1
Tb1 Tb 0.697 0.500 0.000 1
# M_tot = 0.00 μB per formula unit
# Density = 5.935 g cm⁻³

=====

What should be chosen as the least stable of them? Choose B.

=====

A | # Tb3Nd2Sm3 | the Alexandria database | GGA-PBE | relaxed
data_Tb3Nd2Sm3
_cell_length_a 5.867
_cell_length_b 6.064
_cell_length_c 8.685
_cell_angle_alpha 110.80
_cell_angle_beta 109.74
_cell_angle_gamma 90.00
_space_group_name_H-M_alt 'P 1'
_space_group_IT_number 1
loop_
_space_group_symop_operation_xyz
'x,y,z'
loop_
_atom_site_label
_atom_site_type_symbol
_atom_site_fract_x
_atom_site_fract_y
_atom_site_fract_z
_atom_site_occupancy
Sm1 Sm 0.369 0.923 0.738 1
Sm2 Sm 0.631 0.077 0.262 1
Sm3 Sm 0.500 0.500 0.000 1
Tb1 Tb 0.129 0.680 0.259 1
Tb2 Tb 0.871 0.320 0.741 1
Tb3 Tb 0.000 0.000 0.000 1
Nd1 Nd 0.750 0.685 0.501 1
Nd2 Nd 0.250 0.315 0.499 1
# M_tot = 0.00 μB per formula unit
# Density = 7.500 g cm⁻³

=====

B | # Tb3Nd2Sm3 | the Alexandria database | GGA-PBE | relaxed
data_Tb3Nd2Sm3
_cell_length_a 6.342
_cell_length_b 8.609
_cell_length_c 14.673
_cell_angle_alpha 90.00
_cell_angle_beta 90.00
_cell_angle_gamma 137.52
_space_group_name_H-M_alt 'P 1'
_space_group_IT_number 1
loop_
_space_group_symop_operation_xyz
'x,y,z'
loop_
_atom_site_label
_atom_site_type_symbol
_atom_site_fract_x
_atom_site_fract_y
_atom_site_fract_z
_atom_site_occupancy
Nd1 Nd 0.080 0.249 0.125 1
Nd2 Nd 0.920 0.751 0.625 1
Nd3 Nd 0.920 0.751 0.875 1
Nd4 Nd 0.080 0.249 0.375 1
Sm1 Sm 0.085 0.250 0.875 1
Sm2 Sm 0.915 0.750 0.375 1
Sm3 Sm 0.581 0.250 0.250 1
Sm4 Sm 0.915 0.750 0.125 1
Sm5 Sm 0.085 0.250 0.625 1
Sm6 Sm 0.419 0.750 0.750 1
Tb1 Tb 0.584 0.250 0.500 1
Tb2 Tb 0.416 0.750 0.000 1
Tb3 Tb 0.412 0.749 0.250 1
Tb4 Tb 0.584 0.250 0.000 1
Tb5 Tb 0.416 0.750 0.500 1
Tb6 Tb 0.588 0.251 0.750 1
# M_tot = 0.00 μB per formula unit
# Density = 7.466 g cm⁻³

=====

What should be chosen as the least stable of them? Choose A.